1.
First-principles (SCAN) data for a crystal of LiMnOF2 relaxed with PBEsol, as listed in the Alexandria database.

Cell lengths 4.9902, 4.9902, 5.3180 Å; angles 96.40, 113.75, 116.88 degrees
Fractional positions:
1 Mn 0.9728 0.7337 0.2139
2 Mn 0.9802 0.2411 0.7139
3 Li 0.3588 0.4108 0.3411
4 Li 0.4303 0.9823 0.8411
5 O 0.8943 0.3648 0.9990
6 O 0.1342 0.1047 0.4990
7 F 0.1654 0.0010 0.0148
8 F 0.4611 0.6283 0.9595
9 F 0.8313 0.4985 0.4595
10 F 0.5138 0.8495 0.5148

Properties
**Excess energy over the best structure of this formula in the dataset**: 0.004 eV/atom
**Raw total energy**: -94.66 eV/cell



2.
First-principles (SCAN) data for a crystal of Li5MnO3F2 relaxed with PBEsol, as listed in the Alexandria database.

Cell lengths 3.8819, 5.0370, 5.8711 Å; angles 106.42, 90.00, 112.66 degrees
Fractional positions:
1 Mn 0.0000 0.0000 0.5000
2 Li 0.0000 0.0000 0.0000
3 Li 0.6741 0.3483 0.3762
4 Li 0.3259 0.6517 0.6238
5 Li 0.6998 0.3995 0.8104
6 Li 0.3002 0.6005 0.1896
7 O 0.5000 0.0000 0.5000
8 O 0.1391 0.2783 0.3234
9 O 0.8609 0.7217 0.6766
10 F 0.1798 0.3596 0.8556
11 F 0.8202 0.6404 0.1444

Properties
**Raw total energy**: -83.02 eV/cell



3.
First-principles (SCAN) data for a crystal of Li3Mn2OF5 relaxed with PBEsol, as listed in the Alexandria database.

Cell lengths 5.1658, 5.1658, 9.4907 Å; angles 100.77, 100.77, 108.25 degrees
Fractional positions:
1 Li 0.1728 0.1728 0.3456
2 Li 0.5689 0.0689 0.1378
3 Li 0.9311 0.4311 0.8622
4 Li 0.5000 0.5000 0.0000
5 Li 0.8272 0.8272 0.6544
6 Li 0.2500 0.7500 0.5000
7 Mn 0.6704 0.6704 0.3409
8 Mn 0.0000 0.0000 0.0000
9 Mn 0.3296 0.3296 0.6591
10 Mn 0.7500 0.2500 0.5000
11 O 0.9961 0.0039 0.5000
12 O 0.5039 0.4961 0.5000
13 F 0.3633 0.3164 0.1590
14 F 0.9275 0.4104 0.3317
15 F 0.4042 0.9213 0.3317
16 F 0.6836 0.6367 0.8410
17 F 0.7957 0.8426 0.1590
18 F 0.2463 0.7537 0.0000
19 F 0.5896 0.0725 0.6683
20 F 0.7537 0.2463 0.0000
21 F 0.1574 0.2043 0.8410
22 F 0.0787 0.5958 0.6683

Properties
**Raw total energy**: -195.82 eV/cell



4.
First-principles (SCAN) data for a crystal of LiMnOF2 relaxed with PBEsol, as listed in the Alexandria database.

Cell lengths 4.8890, 5.1255, 8.3143 Å; angles 90.00, 90.00, 90.00 degrees
Fractional positions:
1 Li 0.5000 0.0000 0.7845
2 Li 0.5000 0.5000 0.1856
3 Li 0.0000 0.5000 0.2845
4 Li 0.0000 0.0000 0.6856
5 Mn 0.5000 0.0000 0.4286
6 Mn 0.5000 0.5000 0.5938
7 Mn 0.0000 0.5000 0.9286
8 Mn 0.0000 0.0000 0.0938
9 O 0.3195 0.1833 0.5865
10 O 0.1805 0.6833 0.0865
11 O 0.8195 0.3167 0.0865
12 O 0.6805 0.8167 0.5865
13 F 0.2699 0.6480 0.4115
14 F 0.2719 0.1641 0.2557
15 F 0.2281 0.6641 0.7557
16 F 0.2301 0.1480 0.9115
17 F 0.7699 0.8520 0.9115
18 F 0.7719 0.3359 0.7557
19 F 0.7281 0.8359 0.2557
20 F 0.7301 0.3520 0.4115

Properties
**Excess energy over the best structure of this formula in the dataset**: 0.012 eV/atom
**Raw total energy**: -189.16 eV/cell



5.
First-principles (SCAN) data for a crystal of Li2Mn3OF6 relaxed with PBEsol, as listed in the Alexandria database.

Cell lengths 5.9689, 6.5979, 8.1066 Å; angles 68.14, 71.99, 83.14 degrees
Fractional positions:
1 Mn 0.7603 0.5597 0.6592
2 Mn 0.2397 0.4403 0.3408
3 Mn 0.6318 0.2519 0.0650
4 Mn 0.9074 0.8202 0.2269
5 Mn 0.0926 0.1798 0.7731
6 Mn 0.3682 0.7481 0.9350
7 Li 0.2991 0.8678 0.4833
8 Li 0.7009 0.1322 0.5167
9 Li 0.1080 0.3134 0.0713
10 Li 0.8920 0.6866 0.9287
11 O 0.9171 0.4132 0.8665
12 O 0.0829 0.5868 0.1335
13 F 0.0908 0.7071 0.4439
14 F 0.9092 0.2929 0.5561
15 F 0.4335 0.4387 0.8721
16 F 0.5665 0.5613 0.1279
17 F 0.6010 0.7273 0.4508
18 F 0.3990 0.2727 0.5492
19 F 0.7743 0.9707 0.9940
20 F 0.2257 0.0293 0.0060
21 F 0.1690 0.8735 0.7325
22 F 0.8310 0.1265 0.2675
23 F 0.3245 0.1466 0.2760
24 F 0.6755 0.8534 0.7240

Properties
**Raw total energy**: -239.54 eV/cell



6.
First-principles (SCAN) data for a crystal of Li4Mn3O2F6 relaxed with PBEsol, as listed in the Alexandria database.

Cell lengths 5.2902, 5.3327, 6.1235 Å; angles 69.59, 86.26, 79.19 degrees
Fractional positions:
1 Li 0.7677 0.5251 0.8721
2 Li 0.2323 0.4749 0.1279
3 Li 0.7171 0.4833 0.3462
4 Li 0.2829 0.5167 0.6538
5 Mn 0.5000 0.0000 0.0000
6 Mn 0.9863 0.9794 0.2429
7 Mn 0.0137 0.0206 0.7571
8 O 0.8502 0.7706 0.0596
9 O 0.1498 0.2294 0.9404
10 F 0.6225 0.2700 0.1716
11 F 0.3775 0.7300 0.8284
12 F 0.3560 0.6903 0.3162
13 F 0.6440 0.3097 0.6838
14 F 0.9310 0.7440 0.5920
15 F 0.0690 0.2560 0.4080

Properties
**Raw total energy**: -138.22 eV/cell



7.
First-principles (SCAN) data for a crystal of LiMn7O7F relaxed with PBEsol, as listed in the Alexandria database.

Cell lengths 3.6127, 3.6127, 17.2059 Å; angles 90.00, 90.00, 120.00 degrees
Fractional positions:
1 F 0.3333 0.6667 0.0149
2 Mn 0.3333 0.6667 0.6379
3 Mn 0.3333 0.6667 0.8877
4 Mn 0.3333 0.6667 0.3919
5 Mn 0.3333 0.6667 0.1423
6 Mn 0.0000 0.0000 0.7635
7 Mn 0.0000 0.0000 0.2664
8 Mn 0.0000 0.0000 0.5149
9 O 0.3333 0.6667 0.7613
10 O 0.3333 0.6667 0.2685
11 O 0.3333 0.6667 0.5149
12 O 0.0000 0.0000 0.6370
13 O 0.0000 0.0000 0.8915
14 O 0.0000 0.0000 0.1383
15 O 0.0000 0.0000 0.3928
16 Li 0.0000 0.0000 0.0151

Properties
**Raw total energy**: -209.41 eV/cell



8.
First-principles (SCAN) data for a crystal of Li4Mn2OF7 relaxed with PBEsol, as listed in the Alexandria database.

Cell lengths 5.8650, 5.8944, 5.9512 Å; angles 88.90, 59.93, 60.91 degrees
Fractional positions:
1 Li 0.5003 0.5038 0.4954
2 Li 0.9959 0.5091 0.4916
3 Li 0.7687 0.8767 0.1247
4 Li 0.2383 0.1128 0.8859
5 Mn 0.9944 0.9923 0.4924
6 Mn 0.4786 0.5076 0.0078
7 O 0.0436 0.7492 0.2517
8 F 0.5223 0.7216 0.7375
9 F 0.9821 0.2612 0.2779
10 F 0.9653 0.2512 0.7486
11 F 0.4963 0.2552 0.7436
12 F 0.5072 0.7427 0.2579
13 F 0.0170 0.7453 0.7290
14 F 0.4900 0.2712 0.2560

Properties
**Raw total energy**: -117.39 eV/cell



9.
First-principles (SCAN) data for a crystal of LiMnOF2 relaxed with PBEsol, as listed in the Alexandria database.

Cell lengths 5.2712, 5.4514, 6.9375 Å; angles 90.00, 90.00, 90.00 degrees
Fractional positions:
1 Li 0.9608 0.9480 0.7500
2 Li 0.5392 0.4480 0.2500
3 Li 0.4608 0.5520 0.7500
4 Li 0.0392 0.0520 0.2500
5 Mn 0.0000 0.5000 0.0000
6 Mn 0.0000 0.5000 0.5000
7 Mn 0.5000 0.0000 0.0000
8 Mn 0.5000 0.0000 0.5000
9 O 0.9333 0.3998 0.2500
10 O 0.5667 0.8998 0.7500
11 O 0.4333 0.1002 0.2500
12 O 0.0667 0.6002 0.7500
13 F 0.8243 0.8559 0.4372
14 F 0.8243 0.8559 0.0628
15 F 0.6757 0.3559 0.9372
16 F 0.6757 0.3559 0.5628
17 F 0.3243 0.6441 0.0628
18 F 0.3243 0.6441 0.4372
19 F 0.1757 0.1441 0.9372
20 F 0.1757 0.1441 0.5628

Properties
**Excess energy over the best structure of this formula in the dataset**: 0.015 eV/atom
**Raw total energy**: -189.10 eV/cell



10.
First-principles (SCAN) data for a crystal of Li2Mn4O7F relaxed with PBEsol, as listed in the Alexandria database.

Cell lengths 5.7128, 5.7128, 5.8431 Å; angles 90.14, 119.56, 119.53 degrees
Fractional positions:
1 Li 0.7461 0.8846 0.6306
2 Li 0.0036 0.4972 0.5008
3 Mn 0.2549 0.1160 0.3709
4 Mn 0.9998 0.4877 0.0055
5 Mn 0.5179 0.0058 0.0055
6 Mn 0.4926 0.5024 0.9950
7 O 0.4939 0.7507 0.7847
8 O 0.0340 0.2908 0.7847
9 O 0.4724 0.7373 0.2097
10 O 0.9759 0.2510 0.2269
11 O 0.5222 0.2612 0.7834
12 O 0.5090 0.2526 0.2165
13 O 0.9639 0.7075 0.2165
14 F 0.0198 0.7493 0.7691

Properties
**Raw total energy**: -156.69 eV/cell



11.
First-principles (SCAN) data for a crystal of Li7MnO5F relaxed with PBEsol, as listed in the Alexandria database.

Cell lengths 5.4132, 5.4804, 5.5470 Å; angles 60.82, 61.58, 61.77 degrees
Fractional positions:
1 Mn 0.0024 0.0298 0.9861
2 Li 0.8840 0.2623 0.3473
3 Li 0.5048 0.8873 0.3421
4 Li 0.7442 0.5032 0.7084
5 Li 0.3105 0.5461 0.2634
6 Li 0.5058 0.0644 0.6572
7 Li 0.0641 0.7649 0.6722
8 Li 0.3658 0.2999 0.9617
9 O 0.1998 0.9412 0.2377
10 O 0.3431 0.7614 0.7924
11 O 0.1218 0.3554 0.7512
12 O 0.6393 0.2082 0.2292
13 O 0.7744 0.1061 0.7656
14 F 0.8941 0.6266 0.2759

Properties
**Raw total energy**: -100.75 eV/cell



12.
First-principles (SCAN) data for a crystal of Li3Mn3O4F4 relaxed with PBEsol, as listed in the Alexandria database.

Cell lengths 5.6491, 5.9165, 5.9483 Å; angles 118.90, 90.00, 118.52 degrees
Fractional positions:
1 Li 0.6533 0.3065 0.9143
2 Li 0.0000 0.0000 0.5000
3 Li 0.3467 0.6935 0.0857
4 Mn 0.0000 0.0000 0.0000
5 Mn 0.0000 0.5000 0.5000
6 Mn 0.5000 0.5000 0.5000
7 O 0.7597 0.5195 0.3044
8 O 0.7851 0.5703 0.7544
9 O 0.2149 0.4297 0.2456
10 O 0.2403 0.4805 0.6956
11 F 0.7448 0.9739 0.2389
12 F 0.2290 0.9739 0.2389
13 F 0.7710 0.0261 0.7611
14 F 0.2552 0.0261 0.7611

Properties
**Raw total energy**: -137.40 eV/cell



- Among the records above, which one has the highest raw total energy?
  Li5MnO3F2



- Number 8 is which compound?
  Li4Mn2OF7



- Which of these has the highest raw total energy?
  Li5MnO3F2



- Which formula does entry 5 have?
  Li2Mn3OF6